## BeRhF (PBE-GGA)

Data for a relaxed structure of BeRhF.

Values from the calculation:
formation energy from raw total energies = 21 kJ/mol of formula units
E_tot = -4.244 eV/atom
ΔE to the lowest computed polymorph = 1518.0 meV per atom
symmetry = No. 216

Cell and atoms, written as POSCAR:
```
BeRhF
1.0
0.000 2.695 2.695
2.695 0.000 2.695
2.695 2.695 0.000
F Rh Be
1 1 1
Direct
0.250 0.250 0.250 F
0.500 0.500 0.500 Rh
0.750 0.750 0.750 Be
```



## Tl6Ni3Cl14 (PBE-GGA)

Data for a relaxed structure of Tl6Ni3Cl14.

Values from the calculation:
formation energy from raw total energies = -1682 kJ/mol of formula units
E_tot = -3.253 eV/atom
symmetry = No. 143

Cell and atoms, written as POSCAR:
```
Tl6Ni3Cl14
1.0
-6.708 -0.486 -0.613
0.467 -10.630 3.314
-1.275 8.130 7.516
Cl Ni Tl
14 3 6
Direct
0.242 0.533 0.134 Cl
0.645 0.793 0.531 Cl
0.501 0.206 0.746 Cl
0.945 0.055 0.202 Cl
0.044 0.333 0.667 Cl
0.242 0.601 0.467 Cl
0.501 0.254 0.460 Cl
0.945 0.147 0.945 Cl
0.489 0.000 0.000 Cl
0.645 0.469 0.262 Cl
0.945 0.798 0.853 Cl
0.242 0.866 0.399 Cl
0.645 0.738 0.207 Cl
0.501 0.540 0.794 Cl
0.367 0.333 0.667 Ni
0.814 0.000 0.000 Ni
0.440 0.667 0.333 Ni
0.799 0.445 0.987 Tl
0.264 0.920 0.702 Tl
0.264 0.298 0.218 Tl
0.264 0.782 0.080 Tl
0.799 0.542 0.555 Tl
0.799 0.013 0.458 Tl
```